Entry 1:
Below is an optimized crystal structure of Pr2Er2BI5, with properties calculated at the PBE level.

Summary:
Energy = -4.38 eV/atom

CIF file:
```
data_Pr2Er2BI5
_space_group_name_H-M_alt 'C 1 2/m 1'
_space_group_IT_number 12
_cell_length_a 19.6253
_cell_length_b 4.1242
_cell_length_c 8.9961
_cell_angle_alpha 90.00
_cell_angle_beta 102.38
_cell_angle_gamma 90.00
loop_
_space_group_symop_operation_xyz
'x,y,z'
'-x,-y,-z'
'-x,y,-z'
'x,-y,z'
'x+1/2,y+1/2,z'
'-x+1/2,-y+1/2,-z'
'-x+1/2,y+1/2,-z'
'x+1/2,-y+1/2,z'
loop_
_atom_site_label
_atom_site_type_symbol
_atom_site_fract_x
_atom_site_fract_y
_atom_site_fract_z
_atom_site_occupancy
Pr1 Pr 0.0008 0.0000 0.2975 1
Er1 Er 0.1300 0.5000 0.5644 1
B1 B 0.0000 0.5000 0.5000 1
I1 I 0.0000 0.5000 0.0000 1
I2 I 0.1674 0.0000 0.8220 1
I3 I 0.1714 0.0000 0.3427 1
```



Entry 2:
Below is an optimized crystal structure of Pu6P5S, with properties calculated at the PBE level.

Summary:
Energy = -11.03 eV/atom

CIF file:
```
data_Pu6P5S
_space_group_name_H-M_alt 'C 1 2/m 1'
_space_group_IT_number 12
_cell_length_a 6.9186
_cell_length_b 11.9830
_cell_length_c 6.9188
_cell_angle_alpha 90.00
_cell_angle_beta 109.47
_cell_angle_gamma 90.00
loop_
_space_group_symop_operation_xyz
'x,y,z'
'-x,-y,-z'
'-x,y,-z'
'x,-y,z'
'x+1/2,y+1/2,z'
'-x+1/2,-y+1/2,-z'
'-x+1/2,y+1/2,-z'
'x+1/2,-y+1/2,z'
loop_
_atom_site_label
_atom_site_type_symbol
_atom_site_fract_x
_atom_site_fract_y
_atom_site_fract_z
_atom_site_occupancy
Pu1 Pu 0.2498 0.0000 0.2502 1
Pu2 Pu 0.2496 0.1668 0.7493 1
P1 P 0.0000 0.0000 0.5000 1
P2 P 0.0000 0.1668 0.0000 1
P3 P 0.0000 0.3339 0.5000 1
S1 S 0.0000 0.5000 0.0000 1
```



Entry 3:
Below is an optimized crystal structure of NdHgOs, with properties calculated at the PBE level.

Summary:
E_form = 0.42 eV/atom

CIF file:
```
data_NdHgOs
_space_group_name_H-M_alt 'F -4 3 m'
_space_group_IT_number 216
_space_group_name_Hall 'F -4 2 3'
_cell_length_a 6.7162
_cell_length_b 6.7162
_cell_length_c 6.7162
_cell_angle_alpha 90.00
_cell_angle_beta 90.00
_cell_angle_gamma 90.00
loop_
_atom_site_label
_atom_site_type_symbol
_atom_site_fract_x
_atom_site_fract_y
_atom_site_fract_z
_atom_site_occupancy
Nd1 Nd 0.0000 0.0000 0.0000 1
Hg1 Hg 0.0000 0.0000 0.5000 1
Os1 Os 0.2500 0.2500 0.7500 1
```



Entry 4:
Below is an optimized crystal structure of AlNiPdW, with properties calculated at the PBE level.

Summary:
Energy = -6.92 eV/atom

CIF file:
```
data_AlNiPdW
_space_group_name_H-M_alt 'F -4 3 m'
_space_group_IT_number 216
_space_group_name_Hall 'F -4 2 3'
_cell_length_a 6.1001
_cell_length_b 6.1001
_cell_length_c 6.1001
_cell_angle_alpha 90.00
_cell_angle_beta 90.00
_cell_angle_gamma 90.00
loop_
_atom_site_label
_atom_site_type_symbol
_atom_site_fract_x
_atom_site_fract_y
_atom_site_fract_z
_atom_site_occupancy
Al1 Al 0.0000 0.0000 0.0000 1
Ni1 Ni 0.2500 0.2500 0.2500 1
Pd1 Pd 0.2500 0.2500 0.7500 1
W1 W 0.0000 0.0000 0.5000 1
```